Entry one
# GGA-PBE HoScGePt, relaxed
data_HoScGePt
_chemical_formula_sum 'Ho4 Sc4 Ge4 Pt4'
_symmetry_space_group_name_H-M 'F -4 3 m'
_symmetry_Int_Tables_number 216
_symmetry_space_group_name_Hall 'F -4 2 3'
_cell_length_a 6.8764
_cell_length_b 6.8764
_cell_length_c 6.8764
_cell_angle_alpha 90.00
_cell_angle_beta 90.00
_cell_angle_gamma 90.00
loop_
_atom_site_label
_atom_site_fract_x
_atom_site_fract_y
_atom_site_fract_z
Ho1 0.0000 0.0000 0.0000
Sc1 0.0000 0.0000 0.5000
Ge1 0.2500 0.2500 0.2500
Pt1 0.2500 0.2500 0.7500
# Crystal system: cubic
# Total magnetic moment, μB per cell: 0.00

Entry two
# GGA-PBE HoScGePt, relaxed
data_HoScGePt
_chemical_formula_sum 'Ho2 Sc2 Ge2 Pt2'
_symmetry_space_group_name_H-M 'A m m 2'
_symmetry_Int_Tables_number 38
_cell_length_a 4.1729
_cell_length_b 3.7653
_cell_length_c 10.6461
_cell_angle_alpha 90.00
_cell_angle_beta 90.00
_cell_angle_gamma 90.00
loop_
_symmetry_equiv_pos_as_xyz
'x,y,z'
'-x,-y,z'
'-x,y,z'
'x,-y,z'
'x,y+1/2,z+1/2'
'-x,-y+1/2,z+1/2'
'-x,y+1/2,z+1/2'
'x,-y+1/2,z+1/2'
loop_
_atom_site_label
_atom_site_fract_x
_atom_site_fract_y
_atom_site_fract_z
Ho1 0.0000 0.0000 0.0000
Sc1 0.5000 0.0000 0.7178
Ge1 0.0000 0.0000 0.2718
Pt1 0.5000 0.0000 0.4402
# Crystal system: orthorhombic
# Total magnetic moment, μB per cell: 0.00

It comes down to entry two, which is 127 meV/atom more stable than the next structure.

Entry one
# GGA-PBE HoPuGe, relaxed
data_HoPuGe
_chemical_formula_sum 'Ho2 Pu2 Ge2'
_symmetry_space_group_name_H-M 'P 4/n m m'
_symmetry_Int_Tables_number 129
_cell_length_a 4.1552
_cell_length_b 4.1552
_cell_length_c 8.3215
_cell_angle_alpha 90.00
_cell_angle_beta 90.00
_cell_angle_gamma 90.00
loop_
_symmetry_equiv_pos_as_xyz
'x,y,z'
'-x,-y,-z'
'-y+1/2,x,z'
'y+1/2,-x,-z'
'-x+1/2,-y+1/2,z'
'x+1/2,y+1/2,-z'
'y,-x+1/2,z'
'-y,x+1/2,-z'
'x+1/2,-y,-z'
'-x+1/2,y,z'
'-y,-x,-z'
'y,x,z'
'-x,y+1/2,-z'
'x,-y+1/2,z'
'y+1/2,x+1/2,-z'
'-y+1/2,-x+1/2,z'
loop_
_atom_site_label
_atom_site_fract_x
_atom_site_fract_y
_atom_site_fract_z
Ho1 0.2500 0.2500 0.1427
Pu1 0.2500 0.7500 0.5000
Ge1 0.2500 0.2500 0.7804
# Crystal system: tetragonal
# Total magnetic moment, μB per cell: 10.73

Entry two
# GGA-PBE HoPuGe, relaxed
data_HoPuGe
_chemical_formula_sum 'Ho4 Pu4 Ge4'
_symmetry_space_group_name_H-M 'C 1 2/m 1'
_symmetry_Int_Tables_number 12
_cell_length_a 16.1176
_cell_length_b 3.5467
_cell_length_c 5.2900
_cell_angle_alpha 90.00
_cell_angle_beta 97.91
_cell_angle_gamma 90.00
loop_
_symmetry_equiv_pos_as_xyz
'x,y,z'
'-x,-y,-z'
'-x,y,-z'
'x,-y,z'
'x+1/2,y+1/2,z'
'-x+1/2,-y+1/2,-z'
'-x+1/2,y+1/2,-z'
'x+1/2,-y+1/2,z'
loop_
_atom_site_label
_atom_site_fract_x
_atom_site_fract_y
_atom_site_fract_z
Ho1 0.2149 0.0000 0.2338
Pu1 0.0783 0.0000 0.6890
Ge1 0.0656 0.5000 0.1873
# Crystal system: monoclinic
# Total magnetic moment, μB per cell: 23.02

Entry three
# GGA-PBE HoPuGe, relaxed
data_HoPuGe
_chemical_formula_sum 'Ho1 Pu1 Ge1'
_symmetry_space_group_name_H-M 'P 3 m 1'
_symmetry_Int_Tables_number 156
_cell_length_a 4.8730
_cell_length_b 4.8730
_cell_length_c 3.6138
_cell_angle_alpha 90.00
_cell_angle_beta 90.00
_cell_angle_gamma 120.00
loop_
_symmetry_equiv_pos_as_xyz
'x,y,z'
'-y,x-y,z'
'-x+y,-x,z'
'-y,-x,z'
'-x+y,y,z'
'x,x-y,z'
loop_
_atom_site_label
_atom_site_fract_x
_atom_site_fract_y
_atom_site_fract_z
Ho1 0.0000 0.0000 0.0000
Pu1 0.6667 0.3333 0.4461
Ge1 0.3333 0.6667 0.7645
# Crystal system: trigonal
# Total magnetic moment, μB per cell: 6.15

It comes down to entry one, which is 271 meV/atom more stable than the next structure.